# PBE with a Hubbard U Ba2MoOF5, relaxed
data_Ba2MoOF5
_chemical_formula_sum 'Ba4 Mo2 O2 F10'
_space_group_name_H-M_alt 'I 4 m m'
_space_group_IT_number 107
_space_group_name_Hall 'I 4 -2'
_cell_length_a 5.816
_cell_length_b 5.816
_cell_length_c 9.031
_cell_angle_alpha 90.00
_cell_angle_beta 90.00
_cell_angle_gamma 90.00
loop_
_atom_site_label
_atom_site_type_symbol
_atom_site_fract_x
_atom_site_fract_y
_atom_site_fract_z
Ba1 Ba 0.000 0.500 0.000
Mo1 Mo 0.000 0.000 0.249
O1 O 0.000 0.000 0.028
F1 F 0.000 0.000 0.494
F2 F 0.247 0.247 0.760
# Final energy = -5.818 eV per atom
# Magnetic moment = 3.0 μB/f.u.
# D(E_F) = 0.0 states/eV/f.u.